Compound: Cs2AgCl6F
Source: Alexandria via LeMat-Bulk
Functional: GGA-PBE
Structure: optimized geometry

a b c (Å): 7.374 7.374 7.374
angles (deg): 121.02 121.02 88.24
Atoms (fractional coordinates):
Cs 0.250 0.750 0.500
Cs 0.750 0.250 0.500
Ag 0.000 0.000 0.000
Cl 0.227 0.227 0.000
Cl 0.237 0.237 0.475
Cl 0.237 0.763 0.000
Cl 0.763 0.237 0.000
Cl 0.763 0.763 0.525
Cl 0.773 0.773 0.000
F 0.500 0.500 0.000

Results
E_form (uncorrected) = -0.918 eV per atom
Space-group type = I4/mmm, No. 139
Calculated density = 3.6 g/cm³

=====

Compound: ZrTaTc2
Source: Alexandria via LeMat-Bulk
Functional: GGA-PBE
Structure: optimized geometry

a b c (Å): 3.244 4.364 4.826
angles (deg): 90.00 90.00 90.00
Atoms (fractional coordinates):
Zr 0.000 0.000 0.000
Ta 0.500 0.000 0.500
Tc 0.000 0.500 0.500
Tc 0.500 0.500 0.000

Results
Space-group type = Pmmm, No. 47
Energy relative to the elements = -11.7 kJ per mole of atoms
Calculated density = 11.4 g/cm³

=====

Compound: TbMgRu4
Source: Alexandria via LeMat-Bulk
Functional: GGA-PBE
Structure: optimized geometry

a b c (Å): 5.259 5.259 5.259
angles (deg): 60.00 60.00 60.00
Atoms (fractional coordinates):
Tb 0.000 0.000 0.000
Mg 0.750 0.750 0.750
Ru 0.375 0.375 0.375
Ru 0.375 0.375 0.874
Ru 0.375 0.874 0.375
Ru 0.874 0.375 0.375

Results
Space-group type = F-43m, No. 216
Energy relative to the elements = -8.3 kJ per mole of atoms
Calculated density = 9.5 g/cm³

=====

Compound: VCrS2Cl
Source: Alexandria via LeMat-Bulk
Functional: GGA-PBE
Structure: optimized geometry

a b c (Å): 4.676 4.676 4.490
angles (deg): 90.00 90.00 90.00
Atoms (fractional coordinates):
V 0.000 0.000 0.000
Cr 0.500 0.500 0.500
S 0.000 0.500 0.500
S 0.500 0.000 0.500
Cl 0.500 0.500 0.000

Results
Distance to the lowest polymorph of the same formula = 399 meV/atom
E_form (uncorrected) = 0.281 eV per atom
Space-group type = P4/mmm, No. 123
Calculated density = 3.4 g/cm³

=====

Please write out number 4 again, unchanged.
Compound: VCrS2Cl
Source: Alexandria via LeMat-Bulk
Functional: GGA-PBE
Structure: optimized geometry

a b c (Å): 4.676 4.676 4.490
angles (deg): 90.00 90.00 90.00
Atoms (fractional coordinates):
V 0.000 0.000 0.000
Cr 0.500 0.500 0.500
S 0.000 0.500 0.500
S 0.500 0.000 0.500
Cl 0.500 0.500 0.000

Results
Distance to the lowest polymorph of the same formula = 399 meV/atom
E_form (uncorrected) = 0.281 eV per atom
Space-group type = P4/mmm, No. 123
Calculated density = 3.4 g/cm³